Record 1
## ThSb2Pd8 (PBE)

Data for ThSb2Pd8 after structural relaxation.

Values from the calculation:
As for the formation energy without anion corrections: -5.46 eV per formula unit. The total energy comes out at -62.666 eV/f.u. Its density is 10.687 g/cm³. As for the spin magnetization: 0.00 μB per cell. The crystal system is monoclinic.

a = 7.7273 Å, b = 12.2109 Å, c = 4.7457 Å
α = 90.00°, β = 112.94°, γ = 90.00°
Last column: nearest neighbours and their distance in Å.
Space group C2/m (No. 12)
Asymmetric unit:
1 Th 0.0000 0.0000 0.0000 (multiplicity 2)  8 Pd 2.80-3.10
2 Sb 0.0000 0.3157 0.5000 (multiplicity 4)  8 Pd 2.60-2.76
3 Pd 0.0000 0.2291 0.0000 (multiplicity 4)  2 Sb 2.60, 1 Th 2.80
4 Pd 0.1039 0.5000 0.8227 (multiplicity 4)  2 Sb 2.66, 4 Pd 2.74-2.90, 1 Th 2.84
5 Pd 0.1981 0.1213 0.6173 (multiplicity 8)  2 Sb 2.71-2.76, 5 Pd 2.82-3.03

=====

Record 2
## ThSbPd (PBE)

Data for ThSbPd after structural relaxation.

Values from the calculation:
As for the formation energy without anion corrections: -1.26 eV per formula unit. The total energy comes out at -17.990 eV/f.u. Its density is 9.966 g/cm³. As for the spin magnetization: 0.00 μB per cell. The crystal system is tetragonal.

a = 4.6079 Å, b = 4.6079 Å, c = 7.2227 Å
α = 90.00°, β = 90.00°, γ = 90.00°
Last column: nearest neighbours and their distance in Å.
Space group P4/nmm (No. 129, origin choice 2)
Asymmetric unit:
1 Th 0.2500 0.7500 0.0000 (multiplicity 2)  4 Pd 3.07, 4 Th 3.26, 4 Sb 3.36
2 Sb 0.2500 0.2500 0.3392 (multiplicity 2)  1 Pd 2.75
3 Pd 0.2500 0.2500 0.7192 (multiplicity 2)  1 Sb 2.75, 4 Th 3.07

=====

Record 3
## ThSb3Pd (PBE)

Data for ThSb3Pd after structural relaxation.

Values from the calculation:
As for the formation energy without anion corrections: -3.12 eV per formula unit. The total energy comes out at -28.099 eV/f.u. Its density is 9.152 g/cm³. As for the spin magnetization: 0.00 μB per cell. The crystal system is orthorhombic.

a = 12.9806 Å, b = 6.3386 Å, c = 6.2075 Å
α = 90.00°, β = 90.00°, γ = 90.00°
Last column: nearest neighbours and their distance in Å.
Space group Pbcm (No. 57)
Asymmetric unit:
1 Th 0.1916 0.0011 0.2500 (multiplicity 4)  9 Sb 3.22-3.34, 2 Pd 3.52
2 Sb 0.0008 0.7500 0.0000 (multiplicity 4)  4 Sb 3.10-3.17, 4 Th 3.33-3.34
3 Sb 0.2587 0.5040 0.2500 (multiplicity 4)  2 Pd 2.88, 2 Th 3.22
4 Sb 0.4388 0.1095 0.2500 (multiplicity 4)  4 Pd 2.73-2.80
5 Pd 0.4021 0.7500 0.0000 (multiplicity 4)  6 Sb 2.73-2.88

=====

Record 4
## ThSb2Pd3 (PBE)

Data for ThSb2Pd3 after structural relaxation.

Values from the calculation:
As for the formation energy without anion corrections: -4.34 eV per formula unit. The total energy comes out at -35.584 eV/f.u. Its density is 10.389 g/cm³. As for the spin magnetization: 0.00 μB per cell. The crystal system is monoclinic.

a = 17.4220 Å, b = 4.4129 Å, c = 10.3666 Å
α = 90.00°, β = 106.98°, γ = 90.00°
Last column: nearest neighbours and their distance in Å.
Space group C2/m (No. 12)
Asymmetric unit:
1 Th 0.0000 0.0000 0.0000 (multiplicity 2)  6 Sb 3.26-3.33, 6 Pd 3.30-3.49
2 Th 0.1588 0.0000 0.7057 (multiplicity 4)  9 Pd 3.30-3.69, 6 Sb 3.32-3.46
3 Sb 0.0315 0.5000 0.7808 (multiplicity 4)  5 Pd 2.61-2.80
4 Sb 0.1438 0.5000 0.4597 (multiplicity 4)  7 Pd 2.62-2.89
5 Sb 0.1950 0.0000 0.1179 (multiplicity 4)  6 Pd 2.64-2.77
6 Pd 0.0000 0.5000 0.5000 (multiplicity 2)  4 Sb 2.66-2.80, 4 Pd 2.88
7 Pd 0.0375 0.0000 0.3500 (multiplicity 4)  4 Sb 2.68-2.89, 3 Pd 2.88-2.91
8 Pd 0.1217 0.5000 0.1923 (multiplicity 4)  4 Sb 2.69-2.77, 1 Pd 2.83
9 Pd 0.1730 0.5000 0.9572 (multiplicity 4)  4 Sb 2.61-2.72, 1 Pd 2.83
10 Pd 0.2091 0.0000 0.3801 (multiplicity 4)  4 Sb 2.62-2.72, 1 Pd 2.91

=====

Record 5
## Th4SbPd15 (PBE)

Data for Th4SbPd15 after structural relaxation.

Values from the calculation:
As for the formation energy without anion corrections: -16.32 eV per formula unit. The total energy comes out at -128.014 eV/f.u. Its density is 11.933 g/cm³. As for the spin magnetization: 0.00 μB per cell. The crystal system is tetragonal.

a = 4.2037 Å, b = 4.2037 Å, c = 20.8381 Å
α = 90.00°, β = 90.00°, γ = 90.00°
Last column: nearest neighbours and their distance in Å.
Space group P4/mmm (No. 123)
Asymmetric unit:
1 Th 0.0000 0.0000 0.1025 (multiplicity 2)  12 Pd 2.96-3.00
2 Th 0.0000 0.0000 0.3074 (multiplicity 2)  12 Pd 2.90-3.04
3 Sb 0.0000 0.0000 0.5000 (multiplicity 1)  12 Pd 2.91-2.97
4 Pd 0.0000 0.5000 0.0000 (multiplicity 2)  8 Pd 2.97-2.98, 4 Th 3.00
5 Pd 0.0000 0.5000 0.2023 (multiplicity 4)  4 Th 2.96-3.04, 8 Pd 2.96-2.98
6 Pd 0.0000 0.5000 0.4034 (multiplicity 4)  2 Th 2.90, 2 Sb 2.91, 8 Pd 2.91-2.98
7 Pd 0.5000 0.5000 0.1011 (multiplicity 2)  4 Th 2.97, 8 Pd 2.98
8 Pd 0.5000 0.5000 0.3023 (multiplicity 2)  8 Pd 2.96-2.98, 4 Th 2.97
9 Pd 0.5000 0.5000 0.5000 (multiplicity 1)  8 Pd 2.91, 4 Sb 2.97

=====

Record 6
## Th2SbPd (PBE)

Data for Th2SbPd after structural relaxation.

Values from the calculation:
As for the formation energy without anion corrections: -2.67 eV per formula unit. The total energy comes out at -26.821 eV/f.u. Its density is 10.933 g/cm³. As for the spin magnetization: 0.00 μB per cell. The crystal system is tetragonal.

a = 3.8484 Å, b = 3.8484 Å, c = 7.0995 Å
α = 90.00°, β = 90.00°, γ = 90.00°
Last column: nearest neighbours and their distance in Å.
Space group P4/mmm (No. 123)
Asymmetric unit:
1 Th 0.0000 0.0000 0.2420 (multiplicity 2)  4 Pd 3.22, 4 Sb 3.28, 1 Th 3.44
2 Sb 0.5000 0.5000 0.5000 (multiplicity 1)  8 Th 3.28, 2 Pd 3.55
3 Pd 0.5000 0.5000 0.0000 (multiplicity 1)  8 Th 3.22, 2 Sb 3.55